First-principles (PBE+U) data for AcFe2B2O7 after structural relaxation, as listed in Alexandria.

Properties
The value obtained for the total moment is 9.00 μB/f.u. For the uncorrected energy, the calculation gives -269.6 eV per cell.

Geometry as CIF:
```
data_AcFe2B2O7
_chemical_formula_sum 'Ac3 Fe6 B6 O21'
_space_group_name_H-M_alt 'R 3 2'
_space_group_IT_number 155
_space_group_name_Hall 'R 3 2"'
_cell_length_a 5.1153
_cell_length_b 5.1153
_cell_length_c 26.0626
_cell_angle_alpha 90.00
_cell_angle_beta 90.00
_cell_angle_gamma 120.00
loop_
_atom_site_label
_atom_site_type_symbol
_atom_site_fract_x
_atom_site_fract_y
_atom_site_fract_z
Ac1 Ac 0.0000 0.0000 0.0000
Fe1 Fe 0.0000 0.0000 0.4302
B1 B 0.0000 0.0000 0.2710
O1 O 0.0000 0.0000 0.5000
O2 O 0.0355 0.2868 0.2732
```